TlCu2Ir: optimized geometry, PBE.

The structure belongs to space group F-43m (No. 216); the cell edges are 6.3036, 6.3036 and 6.3036 Å and the angles 90.00°, 90.00° and 90.00°. The inequivalent atoms are Tl at (0.0000, 0.0000, 0.0000), Cu at (0.0000, 0.0000, 0.5000), Cu at (0.2500, 0.2500, 0.7500) and Ir at (0.2500, 0.2500, 0.2500).

For the total moment, the calculation gives 0.00 μB/cell. The energy above the most stable polymorph in this dataset comes out at 110 meV/atom. The formation energy from the elements comes out at 0.3621 eV per atom.